Record 1
K2GaRePb | Alexandria via LeMat-Bulk | PBE-GGA | relaxed; energy of formation from the pure elements = 7.0 eV per formula unit; SG = No. 123; N(E_F) = 2.8 states/eV per cell; total energy = -14.35 eV/cell
1.0
6.3554 0.0000 0.0000
0.0000 6.3554 0.0000
0.0000 0.0000 5.4401
K Ga Re Pb
2 1 1 1
Cartesian
0.0000 3.1777 0.0000
3.1777 0.0000 0.0000
0.0000 0.0000 0.0000
3.1777 3.1777 2.7201
0.0000 0.0000 2.7201

---

Record 2
KGaRu2Pb | Alexandria via LeMat-Bulk | PBE-GGA | relaxed; energy of formation from the pure elements = 11.5 eV per formula unit; SG = No. 123; N(E_F) = 7.2 states/eV per cell; total energy = -14.85 eV/cell
1.0
4.8329 0.0000 0.0000
0.0000 4.8329 0.0000
0.0000 0.0000 5.7267
K Ga Ru Pb
1 1 2 1
Cartesian
0.0000 0.0000 0.0000
2.4164 2.4164 2.8633
0.0000 2.4164 0.0000
2.4164 0.0000 0.0000
0.0000 0.0000 2.8633

---

Record 3
KGaPbS2 | Alexandria via LeMat-Bulk | PBE-GGA | relaxed; ΔE_f (raw) = 144 meV/atom; SG = No. 123; N(E_F) = 4.5 states/eV per cell; total energy = -15.37 eV/cell
1.0
5.0279 0.0000 0.0000
0.0000 5.0279 0.0000
0.0000 0.0000 5.4383
K Ga Pb S
1 1 1 2
Cartesian
0.0000 0.0000 0.0000
0.0000 0.0000 2.7191
2.5139 2.5139 0.0000
0.0000 2.5139 2.7191
2.5139 0.0000 2.7191

---

Among the records above, which one has the lowest total energy?
KGaPbS2